A | Material: Li6ZnPd2
Method: DFT, PBE
State: relaxed

```
data_Li6ZnPd2
_space_group_name_H-M_alt 'C 1 2/m 1'
_space_group_IT_number 12
_space_group_name_Hall '-C 2y'
_cell_length_a 13.106
_cell_length_b 7.572
_cell_length_c 2.648
_cell_angle_alpha 90.00
_cell_angle_beta 90.43
_cell_angle_gamma 90.00
loop_
_atom_site_label
_atom_site_fract_x
_atom_site_fract_y
_atom_site_fract_z
_atom_site_occupancy
Li1 0.000 0.160 0.000 1
Li2 0.170 0.330 0.001 1
Zn1 0.000 0.500 0.500 1
Pd1 0.167 0.000 0.500 1
```


B | Material: Li6ZnPd2
Method: DFT, PBE
State: relaxed

```
data_Li6ZnPd2
_space_group_name_H-M_alt 'C 1 2/m 1'
_space_group_IT_number 12
_space_group_name_Hall '-C 2y'
_cell_length_a 13.397
_cell_length_b 5.234
_cell_length_c 4.194
_cell_angle_alpha 90.00
_cell_angle_beta 108.02
_cell_angle_gamma 90.00
loop_
_atom_site_label
_atom_site_fract_x
_atom_site_fract_y
_atom_site_fract_z
_atom_site_occupancy
Li1 0.000 0.220 0.000 1
Li2 0.196 0.253 0.196 1
Zn1 0.000 0.500 0.500 1
Pd1 0.108 0.000 0.608 1
```


The most stable arrangement is A, and the next structure is 118 meV/atom less stable.


A | Material: LiZn2Pd3
Method: DFT, PBE
State: relaxed

```
data_LiZn2Pd3
_space_group_name_H-M_alt 'P 4/m m m'
_space_group_IT_number 123
_space_group_name_Hall '-P 4 2'
_cell_length_a 3.039
_cell_length_b 3.039
_cell_length_c 9.120
_cell_angle_alpha 90.00
_cell_angle_beta 90.00
_cell_angle_gamma 90.00
loop_
_atom_site_label
_atom_site_fract_x
_atom_site_fract_y
_atom_site_fract_z
_atom_site_occupancy
Li1 0.000 0.000 0.000 1
Zn1 0.000 0.000 0.326 1
Pd1 0.500 0.500 0.163 1
Pd2 0.500 0.500 0.500 1
```


B | Material: LiZn2Pd3
Method: DFT, PBE
State: relaxed

```
data_LiZn2Pd3
_space_group_name_H-M_alt 'C m m m'
_space_group_IT_number 65
_space_group_name_Hall '-C 2 2'
_cell_length_a 4.335
_cell_length_b 12.981
_cell_length_c 5.993
_cell_angle_alpha 90.00
_cell_angle_beta 90.00
_cell_angle_gamma 90.00
loop_
_atom_site_label
_atom_site_fract_x
_atom_site_fract_y
_atom_site_fract_z
_atom_site_occupancy
Li1 0.000 0.166 0.000 1
Zn1 0.000 0.167 0.500 1
Zn2 0.000 0.500 0.000 1
Zn3 0.000 0.500 0.500 1
Pd1 0.000 0.000 0.249 1
Pd2 0.000 0.333 0.248 1
```


The most stable arrangement is B, and the next structure is 15 meV/atom less stable.


A | Material: Li3Zn3Pd
Method: DFT, PBE
State: relaxed

```
data_Li3Zn3Pd
_space_group_name_H-M_alt 'R -3'
_space_group_IT_number 148
_space_group_name_Hall '-R 3'
_cell_length_a 6.6210
_cell_length_b 6.6210
_cell_length_c 17.6983
_cell_angle_alpha 90.00
_cell_angle_beta 90.00
_cell_angle_gamma 120.00
loop_
_atom_site_label
_atom_site_fract_x
_atom_site_fract_y
_atom_site_fract_z
_atom_site_occupancy
Li1 0.0421 0.4385 0.3819 1
Zn1 0.0140 0.2525 0.5565 1
Pd1 0.0000 0.0000 0.1593 1
```


B | Material: Li3Zn3Pd
Method: DFT, PBE
State: relaxed

```
data_Li3Zn3Pd
_space_group_name_H-M_alt 'R 3 m'
_space_group_IT_number 160
_space_group_name_Hall 'R 3 -2"'
_cell_length_a 8.3605
_cell_length_b 8.3605
_cell_length_c 5.5725
_cell_angle_alpha 90.00
_cell_angle_beta 90.00
_cell_angle_gamma 120.00
loop_
_atom_site_label
_atom_site_fract_x
_atom_site_fract_y
_atom_site_fract_z
_atom_site_occupancy
Li1 0.0822 0.5411 0.0000 1
Zn1 0.0126 0.5063 0.4473 1
Pd1 0.0000 0.0000 0.9498 1
```


The most stable arrangement is B, and the next structure is 13 meV/atom less stable.


A | Material: Li2Zn6Pd
Method: DFT, PBE
State: relaxed

```
data_Li2Zn6Pd
_space_group_name_H-M_alt 'C 1 2/m 1'
_space_group_IT_number 12
_space_group_name_Hall '-C 2y'
_cell_length_a 10.131
_cell_length_b 5.072
_cell_length_c 5.881
_cell_angle_alpha 90.00
_cell_angle_beta 107.05
_cell_angle_gamma 90.00
loop_
_atom_site_label
_atom_site_fract_x
_atom_site_fract_y
_atom_site_fract_z
_atom_site_occupancy
Li1 0.113 0.000 0.185 1
Zn1 0.120 0.247 0.740 1
Zn2 0.188 0.500 0.398 1
Pd1 0.000 0.500 0.000 1
```


B | Material: Li2Zn6Pd
Method: DFT, PBE
State: relaxed

```
data_Li2Zn6Pd
_space_group_name_H-M_alt 'C 1 2/m 1'
_space_group_IT_number 12
_space_group_name_Hall '-C 2y'
_cell_length_a 7.972
_cell_length_b 4.100
_cell_length_c 8.008
_cell_angle_alpha 90.00
_cell_angle_beta 98.80
_cell_angle_gamma 90.00
loop_
_atom_site_label
_atom_site_fract_x
_atom_site_fract_y
_atom_site_fract_z
_atom_site_occupancy
Li1 0.173 0.000 0.216 1
Zn1 0.009 0.500 0.332 1
Zn2 0.162 0.000 0.889 1
Zn3 0.164 0.000 0.558 1
Pd1 0.000 0.500 0.000 1
```


The most stable arrangement is B, and the next structure is 83 meV/atom less stable.


A | Material: LiZn4Pd
Method: DFT, PBE
State: relaxed

```
data_LiZn4Pd
_space_group_name_H-M_alt 'P 1 21/m 1'
_space_group_IT_number 11
_space_group_name_Hall '-P 2yb'
_cell_length_a 4.151
_cell_length_b 6.830
_cell_length_c 6.436
_cell_angle_alpha 90.00
_cell_angle_beta 108.37
_cell_angle_gamma 90.00
loop_
_atom_site_label
_atom_site_fract_x
_atom_site_fract_y
_atom_site_fract_z
_atom_site_occupancy
Li1 0.168 0.250 0.338 1
Zn1 0.000 0.000 0.000 1
Zn2 0.331 0.505 0.660 1
Zn3 0.494 0.250 0.991 1
Pd1 0.160 0.750 0.322 1
```


B | Material: LiZn4Pd
Method: DFT, PBE
State: relaxed

```
data_LiZn4Pd
_space_group_name_H-M_alt 'C 1 2/m 1'
_space_group_IT_number 12
_space_group_name_Hall '-C 2y'
_cell_length_a 8.657
_cell_length_b 3.814
_cell_length_c 5.455
_cell_angle_alpha 90.00
_cell_angle_beta 106.95
_cell_angle_gamma 90.00
loop_
_atom_site_label
_atom_site_fract_x
_atom_site_fract_y
_atom_site_fract_z
_atom_site_occupancy
Li1 0.000 0.000 0.000 1
Zn1 0.162 0.500 0.833 1
Zn2 0.169 0.500 0.333 1
Pd1 0.000 0.000 0.500 1
```


The most stable arrangement is A, and the next structure is 14 meV/atom less stable.


A | Material: Li5ZnPd6
Method: DFT, PBE
State: relaxed

```
data_Li5ZnPd6
_space_group_name_H-M_alt 'C 1 2/m 1'
_space_group_IT_number 12
_space_group_name_Hall '-C 2y'
_cell_length_a 8.491
_cell_length_b 8.434
_cell_length_c 4.877
_cell_angle_alpha 90.00
_cell_angle_beta 100.94
_cell_angle_gamma 90.00
loop_
_atom_site_label
_atom_site_fract_x
_atom_site_fract_y
_atom_site_fract_z
_atom_site_occupancy
Li1 0.000 0.000 0.000 1
Li2 0.000 0.168 0.500 1
Li3 0.000 0.335 0.000 1
Zn1 0.000 0.500 0.500 1
Pd1 0.246 0.334 0.751 1
Pd2 0.247 0.500 0.252 1
```


B | Material: Li5ZnPd6
Method: DFT, PBE
State: relaxed

```
data_Li5ZnPd6
_space_group_name_H-M_alt 'I m m m'
_space_group_IT_number 71
_space_group_name_Hall '-I 2 2'
_cell_length_a 4.247
_cell_length_b 6.041
_cell_length_c 12.703
_cell_angle_alpha 90.00
_cell_angle_beta 90.00
_cell_angle_gamma 90.00
loop_
_atom_site_label
_atom_site_fract_x
_atom_site_fract_y
_atom_site_fract_z
_atom_site_occupancy
Li1 0.000 0.000 0.000 1
Li2 0.000 0.000 0.336 1
Li3 0.000 0.500 0.332 1
Zn1 0.000 0.500 0.000 1
Pd1 0.000 0.248 0.167 1
Pd2 0.000 0.254 0.500 1
```


The most stable arrangement is B, and the next structure is 34 meV/atom less stable.


A | Material: Li3Zn2Pd2
Method: DFT, PBE
State: relaxed

```
data_Li3Zn2Pd2
_space_group_name_H-M_alt 'R -3 m'
_space_group_IT_number 166
_space_group_name_Hall '-R 3 2"'
_cell_length_a 4.3117
_cell_length_b 4.3117
_cell_length_c 18.6897
_cell_angle_alpha 90.00
_cell_angle_beta 90.00
_cell_angle_gamma 120.00
loop_
_atom_site_label
_atom_site_fract_x
_atom_site_fract_y
_atom_site_fract_z
_atom_site_occupancy
Li1 0.0000 0.0000 0.0000 1
Li2 0.0000 0.0000 0.1453 1
Zn1 0.0000 0.0000 0.2854 1
Pd1 0.0000 0.0000 0.4246 1
```


B | Material: Li3Zn2Pd2
Method: DFT, PBE
State: relaxed

```
data_Li3Zn2Pd2
_space_group_name_H-M_alt 'P 1 2/m 1'
_space_group_IT_number 10
_space_group_name_Hall '-P 2y'
_cell_length_a 4.079
_cell_length_b 2.749
_cell_length_c 9.930
_cell_angle_alpha 90.00
_cell_angle_beta 101.93
_cell_angle_gamma 90.00
loop_
_atom_site_label
_atom_site_fract_x
_atom_site_fract_y
_atom_site_fract_z
_atom_site_occupancy
Li1 0.000 0.000 0.000 1
Li2 0.295 0.000 0.590 1
Zn1 0.129 0.000 0.258 1
Pd1 0.422 0.500 0.844 1
```


The most stable arrangement is A, and the next structure is 145 meV/atom less stable.


A | Material: Li2ZnPd3
Method: DFT, PBE
State: relaxed

```
data_Li2ZnPd3
_space_group_name_H-M_alt 'C m m m'
_space_group_IT_number 65
_space_group_name_Hall '-C 2 2'
_cell_length_a 4.258
_cell_length_b 12.783
_cell_length_c 3.031
_cell_angle_alpha 90.00
_cell_angle_beta 90.00
_cell_angle_gamma 90.00
loop_
_atom_site_label
_atom_site_fract_x
_atom_site_fract_y
_atom_site_fract_z
_atom_site_occupancy
Li1 0.000 0.166 0.000 1
Zn1 0.000 0.500 0.000 1
Pd1 0.000 0.000 0.500 1
Pd2 0.000 0.332 0.500 1
```


B | Material: Li2ZnPd3
Method: DFT, PBE
State: relaxed

```
data_Li2ZnPd3
_space_group_name_H-M_alt 'C 1 2/c 1'
_space_group_IT_number 15
_space_group_name_Hall '-C 2yc'
_cell_length_a 8.700
_cell_length_b 7.479
_cell_length_c 5.479
_cell_angle_alpha 90.00
_cell_angle_beta 94.01
_cell_angle_gamma 90.00
loop_
_atom_site_label
_atom_site_fract_x
_atom_site_fract_y
_atom_site_fract_z
_atom_site_occupancy
Li1 0.133 0.239 0.137 1
Zn1 0.000 0.418 0.750 1
Pd1 0.000 0.069 0.750 1
Pd2 0.233 0.443 0.497 1
```


The most stable arrangement is A, and the next structure is 154 meV/atom less stable.